Material: TcP2WO
Method: DFT, GGA+U
State: relaxed

Cell and atoms, written as CIF:
```
data_TcP2WO
_chemical_formula_sum 'Tc1 P2 W1 O1'
_cell_length_a 4.815
_cell_length_b 4.815
_cell_length_c 3.668
_cell_angle_alpha 90.00
_cell_angle_beta 90.00
_cell_angle_gamma 90.00
_space_group_name_H-M_alt 'P 4/m m m'
_space_group_IT_number 123
_space_group_name_Hall '-P 4 2'
loop_
_atom_site_label
_atom_site_type_symbol
_atom_site_fract_x
_atom_site_fract_y
_atom_site_fract_z
_atom_site_occupancy
Tc1 Tc 0.000 0.000 0.000 1
P1 P 0.000 0.500 0.000 1
W1 W 0.500 0.500 0.500 1
O1 O 0.000 0.000 0.500 1
```

Results
polymorph energy (0 for the lowest one): 0.000 eV per atom
magnetization: 0.773 μB/atom